1.
Material: SrRu2Cl
Method: DFT, PBE
State: relaxed

Summary:
energy: -4.91 eV/atom
mass density: 7.0 Mg/m³
Fermi-level density of states: 6.3 states/eV/cell
raw formation energy: 0.610 eV/atom

a b c (Å): 4.7708 4.7708 4.7708
angles (deg): 60.00 60.00 60.00
Closest atoms and distances in Å follow each position.
Element x y z (fractional)
Ru1 0.2500 0.2500 0.2500  4 Cl 2.92, 4 Ru 2.92
Ru2 0.0000 0.0000 0.0000  4 Sr 2.92, 4 Ru 2.92
Sr1 0.7500 0.7500 0.7500  4 Cl 2.92, 4 Ru 2.92
Cl1 0.5000 0.5000 0.5000  4 Ru 2.92, 4 Sr 2.92

2.
Material: Na2CrH4
Method: DFT, PBE
State: relaxed

Summary:
energy: -3.75 eV/atom
mass density: 2.2 Mg/m³
Fermi-level density of states: 1.5 states/eV/cell

a b c (Å): 3.6905 3.6905 6.2936
angles (deg): 72.95 72.95 90.00
Closest atoms and distances in Å follow each position.
Element x y z (fractional)
H1 0.0000 0.5000 0.0000  2 Cr 1.85
H2 0.5000 0.0000 0.0000  2 Cr 1.85
H3 0.8441 0.8441 0.3119  1 Cr 1.79
H4 0.1559 0.1559 0.6881  1 Cr 1.79
Na1 0.3544 0.3544 0.2912  5 H 2.27-2.49
Na2 0.6456 0.6456 0.7088  5 H 2.27-2.49
Cr1 0.0000 0.0000 0.0000  6 H 1.79-1.85

3.
Material: Ag2SbAu
Method: DFT, PBE
State: relaxed

Summary:
energy: -3.22 eV/atom
mass density: 11.1 Mg/m³
Fermi-level density of states: 1.7 states/eV/cell
raw formation energy: 0.051 eV/atom

a b c (Å): 3.3851 3.9590 5.9752
angles (deg): 90.00 90.00 90.00
Closest atoms and distances in Å follow each position.
Element x y z (fractional)
Au1 0.0000 0.0000 0.4935  6 Ag 2.87-3.10, 4 Sb 3.01
Ag1 0.5000 0.5000 0.2479  4 Ag 2.96, 2 Sb 2.97-3.00, 4 Au 2.99
Ag2 0.0000 0.0000 0.0129  2 Au 2.87-3.10, 4 Ag 2.96, 4 Sb 3.05
Sb1 0.5000 0.5000 0.7457  6 Ag 2.97-3.05, 4 Au 3.01

4.
Material: BaCaCdPd
Method: DFT, PBE
State: relaxed

Summary:
E_form: -1.38 eV per formula unit
energy: -2.85 eV/atom
mass density: 5.5 Mg/m³
Fermi-level density of states: 3.0 states/eV/cell

a b c (Å): 5.5261 5.5261 5.5261
angles (deg): 60.00 60.00 60.00
Closest atoms and distances in Å follow each position.
Element x y z (fractional)
Pd1 0.2500 0.2500 0.2500  4 Ba 3.38, 4 Ca 3.38
Ca1 0.0000 0.0000 0.0000  4 Cd 3.38, 4 Pd 3.38
Cd1 0.7500 0.7500 0.7500  4 Ba 3.38, 4 Ca 3.38
Ba1 0.5000 0.5000 0.5000  4 Cd 3.38, 4 Pd 3.38